No. 1
Below is a geometry-optimized ZrCr2Re structure, with properties calculated at the PBE level.

The structure in CIF format:
```
data_ZrCr2Re
_symmetry_space_group_name_H-M 'P 1'
_symmetry_Int_Tables_number 1
_cell_length_a 8.539
_cell_length_b 8.539
_cell_length_c 8.539
_cell_angle_alpha 19.69
_cell_angle_beta 19.69
_cell_angle_gamma 19.69
loop_
_symmetry_equiv_pos_as_xyz
'x,y,z'
loop_
_atom_site_label
_atom_site_fract_x
_atom_site_fract_y
_atom_site_fract_z
Zr1 0.750 0.750 0.750
Cr1 0.992 0.992 0.992
Cr2 0.508 0.508 0.508
Re1 0.250 0.250 0.250
```

Results
Its formation energy is 445 meV/atom. The space group is R-3m, No. 166. The calculation puts the density of states at the Fermi level at 4.5 states/eV per cell. The value obtained for the energy above the most stable polymorph in this dataset is 418 meV/atom.


No. 2
Below is a geometry-optimized AcDy6Er2 structure, with properties calculated at the PBE level.

The structure in CIF format:
```
data_AcDy6Er2
_symmetry_space_group_name_H-M 'P 1'
_symmetry_Int_Tables_number 1
_cell_length_a 6.853
_cell_length_b 6.853
_cell_length_c 9.270
_cell_angle_alpha 68.31
_cell_angle_beta 68.31
_cell_angle_gamma 60.00
loop_
_symmetry_equiv_pos_as_xyz
'x,y,z'
loop_
_atom_site_label
_atom_site_fract_x
_atom_site_fract_y
_atom_site_fract_z
Ac1 0.334 0.334 0.997
Dy1 0.288 0.287 0.651
Dy2 0.287 0.774 0.651
Dy3 0.774 0.288 0.651
Dy4 0.049 0.050 0.345
Dy5 0.050 0.556 0.345
Dy6 0.556 0.049 0.345
Er1 0.574 0.574 0.278
Er2 0.753 0.753 0.741
```

Results
Its formation energy is 397 meV/atom. The space group is R3m, No. 160. The calculation puts the density of states at the Fermi level at 14.8 states/eV per cell. The value obtained for the energy above the most stable polymorph in this dataset is 319 meV/atom.


No. 3
Below is a geometry-optimized Th4SnSbAs2 structure, with properties calculated at the PBE level.

The structure in CIF format:
```
data_Th4SnSbAs2
_symmetry_space_group_name_H-M 'P 1'
_symmetry_Int_Tables_number 1
_cell_length_a 4.371
_cell_length_b 7.650
_cell_length_c 7.567
_cell_angle_alpha 70.75
_cell_angle_beta 90.00
_cell_angle_gamma 90.00
loop_
_symmetry_equiv_pos_as_xyz
'x,y,z'
loop_
_atom_site_label
_atom_site_fract_x
_atom_site_fract_y
_atom_site_fract_z
Th1 0.000 0.772 0.741
Th2 0.500 0.230 0.755
Th3 0.000 0.228 0.259
Th4 0.500 0.770 0.245
Sb1 0.500 0.500 0.000
As1 0.000 0.000 0.000
As2 0.500 0.000 0.500
Sn1 0.000 0.500 0.500
```

Results
The space group is P2/m, No. 10. The calculation puts the energy relative to the elements, uncorrected at -1.038 eV per atom. The calculation puts the density of states at the Fermi level at 4.6 states/eV per cell.


No. 4
Below is a geometry-optimized Mn2Tl3CuBr9 structure, with properties calculated at the PBE level.

The structure in CIF format:
```
data_Mn2Tl3CuBr9
_symmetry_space_group_name_H-M 'P 1'
_symmetry_Int_Tables_number 1
_cell_length_a 7.426
_cell_length_b 7.426
_cell_length_c 9.105
_cell_angle_alpha 90.00
_cell_angle_beta 90.00
_cell_angle_gamma 120.00
loop_
_symmetry_equiv_pos_as_xyz
'x,y,z'
loop_
_atom_site_label
_atom_site_fract_x
_atom_site_fract_y
_atom_site_fract_z
Br1 0.333 0.167 0.667
Br2 0.833 0.667 0.667
Br3 0.500 0.500 0.000
Br4 0.167 0.833 0.333
Br5 0.667 0.833 0.333
Br6 0.000 0.500 0.000
Br7 0.500 0.000 0.000
Br8 0.167 0.333 0.333
Br9 0.833 0.167 0.667
Mn1 0.667 0.333 0.827
Mn2 0.333 0.667 0.173
Tl1 0.000 0.000 0.000
Tl2 0.333 0.667 0.654
Tl3 0.667 0.333 0.346
Cu1 0.000 0.000 0.500
```

Results
The space group is P-3m1, No. 164. The calculation puts the energy relative to the elements, uncorrected at -0.688 eV per atom. The calculation puts the density of states at the Fermi level at 1.7 states/eV per cell.


No. 5
Below is a geometry-optimized ZrCoSb2 structure, with properties calculated at the PBE level.

The structure in CIF format:
```
data_ZrCoSb2
_symmetry_space_group_name_H-M 'P 1'
_symmetry_Int_Tables_number 1
_cell_length_a 4.908
_cell_length_b 4.908
_cell_length_c 4.908
_cell_angle_alpha 60.00
_cell_angle_beta 60.00
_cell_angle_gamma 60.00
loop_
_symmetry_equiv_pos_as_xyz
'x,y,z'
loop_
_atom_site_label
_atom_site_fract_x
_atom_site_fract_y
_atom_site_fract_z
Zr1 0.750 0.750 0.750
Sb1 0.250 0.250 0.250
Sb2 0.000 0.000 0.000
Co1 0.500 0.500 0.500
```

Results
The space group is F-43m, No. 216. The calculation puts the energy relative to the elements, uncorrected at 0.240 eV per atom. The calculation puts the density of states at the Fermi level at 6.0 states/eV per cell.


No. 6
Below is a geometry-optimized ZnO2F structure, with properties calculated at the PBE level.

The structure in CIF format:
```
data_ZnO2F
_symmetry_space_group_name_H-M 'P 1'
_symmetry_Int_Tables_number 1
_cell_length_a 3.149
_cell_length_b 3.149
_cell_length_c 8.584
_cell_angle_alpha 79.43
_cell_angle_beta 79.43
_cell_angle_gamma 90.00
loop_
_symmetry_equiv_pos_as_xyz
'x,y,z'
loop_
_atom_site_label
_atom_site_fract_x
_atom_site_fract_y
_atom_site_fract_z
O1 0.375 0.223 0.750
O2 0.875 0.027 0.750
O3 0.777 0.125 0.250
O4 0.973 0.625 0.250
Zn1 0.000 0.000 0.000
Zn2 0.750 0.250 0.500
F1 0.250 0.750 0.500
F2 0.500 0.500 0.000
```

Results
The space group is I-42d, No. 122. The calculation puts the energy relative to the elements, uncorrected at -0.447 eV per atom. The calculation puts the density of states at the Fermi level at 2.1 states/eV per cell. The value obtained for the energy above the most stable polymorph in this dataset is 395 meV/atom.